1.
## Zn2CuBi2 (PBE-GGA)

Data for a geometry-optimized Zn2CuBi2 structure.

Cell lengths 9.3613, 9.3613, 9.3613 Å; angles 158.16, 158.16, 31.08 degrees
With the nearest neighbours (Å) after each atom.
Element x y z (fractional)
Zn: 0.2500 0.7500 0.5000  4 Zn 2.51
Zn: 0.7500 0.2500 0.5000  4 Zn 2.51
Cu: 0.0000 0.0000 0.0000  8 Bi 3.02
Bi: 0.4071 0.4071 0.0000  4 Cu 3.02, 4 Zn 3.34, 1 Bi 3.35
Bi: 0.5929 0.5929 0.0000  4 Cu 3.02, 4 Zn 3.34, 1 Bi 3.35

Calculated density (g cm⁻³): 8.96
Raw total energy (eV per atom): -2.643
SG: No. 139
Fermi-level density of states (states/eV per atom): 0.498
Relative energy among the computed polymorphs (eV/atom): 0.001
Magnetization (μB per formula unit): 0.00
Energy relative to the elements (eV/f.u.): 1.189

2.
## ZrCu3Bi (PBE-GGA)

Data for a geometry-optimized ZrCu3Bi structure.

Cell lengths 4.8368, 4.8368, 4.8368 Å; angles 90.00, 90.00, 90.00 degrees
With the nearest neighbours (Å) after each atom.
Element x y z (fractional)
Zr: 0.0000 0.0000 0.0000  12 Cu 3.42
Cu: 0.0000 0.5000 0.5000  2 Bi 2.42
Cu: 0.5000 0.0000 0.5000  2 Bi 2.42
Cu: 0.5000 0.5000 0.0000  2 Bi 2.42
Bi: 0.5000 0.5000 0.5000  6 Cu 2.42

Calculated density (g cm⁻³): 7.20
Raw total energy (eV per atom): -3.935
SG: No. 221
Fermi-level density of states (states/eV per atom): 0.709
Relative energy among the computed polymorphs (eV/atom): 0.000
Magnetization (μB per formula unit): 1.06
Energy relative to the elements (eV/f.u.): 5.045

3.
## Zr4CuBi (PBE-GGA)

Data for a geometry-optimized Zr4CuBi structure.

Cell lengths 6.7346, 6.7346, 5.8475 Å; angles 90.00, 90.00, 90.00 degrees
With the nearest neighbours (Å) after each atom.
Element x y z (fractional)
Zr: 0.1360 0.3288 0.0000  2 Cu 2.81, 1 Zr 2.94, 2 Bi 3.08
Zr: 0.1360 0.6712 0.5000  2 Cu 2.81, 1 Zr 2.94, 2 Bi 3.08
Zr: 0.3288 0.1360 0.5000  2 Cu 2.81, 1 Zr 2.94, 2 Bi 3.08
Zr: 0.3288 0.8640 0.0000  2 Cu 2.81, 1 Zr 2.94, 2 Bi 3.08
Zr: 0.6712 0.1360 0.0000  2 Cu 2.81, 1 Zr 2.94, 2 Bi 3.08
Zr: 0.6712 0.8640 0.5000  2 Cu 2.81, 1 Zr 2.94, 2 Bi 3.08
Zr: 0.8640 0.3288 0.5000  2 Cu 2.81, 1 Zr 2.94, 2 Bi 3.08
Zr: 0.8640 0.6712 0.0000  2 Cu 2.81, 1 Zr 2.94, 2 Bi 3.08
Cu: 0.0000 0.0000 0.2500  8 Zr 2.81, 2 Cu 2.92
Cu: 0.0000 0.0000 0.7500  8 Zr 2.81, 2 Cu 2.92
Bi: 0.5000 0.5000 0.2500  2 Bi 2.92, 8 Zr 3.08
Bi: 0.5000 0.5000 0.7500  2 Bi 2.92, 8 Zr 3.08

Calculated density (g cm⁻³): 7.98
Raw total energy (eV per atom): -7.155
SG: No. 124
Fermi-level density of states (states/eV per atom): 0.955
Magnetization (μB per formula unit): 0.00
Energy relative to the elements (eV/f.u.): -0.762

4.
## Zr5CuBi3 (PBE-GGA)

Data for a geometry-optimized Zr5CuBi3 structure.

Cell lengths 8.8220, 8.8220, 5.9449 Å; angles 90.00, 90.00, 120.00 degrees
With the nearest neighbours (Å) after each atom.
Element x y z (fractional)
Zr: 0.0000 0.2603 0.2500  2 Cu 2.74, 2 Bi 3.01
Zr: 0.0000 0.7397 0.7500  2 Cu 2.74, 2 Bi 3.01
Zr: 0.2603 0.0000 0.2500  2 Cu 2.74, 2 Bi 3.01
Zr: 0.2603 0.2603 0.7500  2 Cu 2.74, 2 Bi 3.01
Zr: 0.3333 0.6667 0.0000  2 Zr 2.97, 6 Bi 3.12
Zr: 0.3333 0.6667 0.5000  2 Zr 2.97, 6 Bi 3.12
Zr: 0.6667 0.3333 0.0000  2 Zr 2.97, 6 Bi 3.12
Zr: 0.6667 0.3333 0.5000  2 Zr 2.97, 6 Bi 3.12
Zr: 0.7397 0.0000 0.7500  2 Cu 2.74, 2 Bi 3.01
Zr: 0.7397 0.7397 0.2500  2 Cu 2.74, 2 Bi 3.01
Cu: 0.0000 0.0000 0.0000  6 Zr 2.74, 2 Cu 2.97
Cu: 0.0000 0.0000 0.5000  6 Zr 2.74, 2 Cu 2.97
Bi: 0.0000 0.3858 0.7500  9 Zr 3.01-3.17
Bi: 0.0000 0.6142 0.2500  9 Zr 3.01-3.17
Bi: 0.3858 0.0000 0.7500  9 Zr 3.01-3.17
Bi: 0.3858 0.3858 0.2500  9 Zr 3.01-3.17
Bi: 0.6142 0.0000 0.2500  9 Zr 3.01-3.17
Bi: 0.6142 0.6142 0.7500  9 Zr 3.01-3.17

Calculated density (g cm⁻³): 9.50
Raw total energy (eV per atom): -6.895
SG: No. 193
Fermi-level density of states (states/eV per atom): 0.526
Magnetization (μB per formula unit): 0.00
Energy relative to the elements (eV/f.u.): -3.571

5.
## Zr2Cu2Bi (PBE-GGA)

Data for a geometry-optimized Zr2Cu2Bi structure.

Cell lengths 6.1846, 6.1846, 6.1846 Å; angles 137.80, 137.80, 61.21 degrees
With the nearest neighbours (Å) after each atom.
Element x y z (fractional)
Zr: 0.2500 0.7500 0.5000  4 Cu 2.70
Zr: 0.7500 0.2500 0.5000  4 Cu 2.70
Cu: 0.1067 0.1067 0.0000  1 Cu 2.27
Cu: 0.8933 0.8933 0.0000  1 Cu 2.27
Bi: 0.5000 0.5000 0.0000  8 Cu 3.35, 8 Zr 3.47

Calculated density (g cm⁻³): 8.16
Raw total energy (eV per atom): -5.761
SG: No. 139
Fermi-level density of states (states/eV per atom): 0.602
Relative energy among the computed polymorphs (eV/atom): 0.238
Magnetization (μB per formula unit): 0.00
Energy relative to the elements (eV/f.u.): 0.367

6.
## Zr3CuBi2 (PBE-GGA)

Data for a geometry-optimized Zr3CuBi2 structure.

Cell lengths 12.1132, 4.0487, 11.0730 Å; angles 90.00, 90.00, 90.00 degrees
With the nearest neighbours (Å) after each atom.
Element x y z (fractional)
Zr: 0.0700 0.2500 0.0943  5 Bi 2.99-3.26, 1 Cu 2.99, 2 Zr 3.24
Zr: 0.1211 0.7500 0.5385  3 Cu 2.82-2.90, 4 Bi 3.09-3.15
Zr: 0.2342 0.7500 0.2349  2 Cu 2.95, 5 Bi 2.99-3.25, 2 Zr 3.24
Zr: 0.2658 0.2500 0.7349  2 Cu 2.95, 5 Bi 2.99-3.25, 2 Zr 3.24
Zr: 0.3789 0.2500 0.0385  3 Cu 2.82-2.90, 4 Bi 3.09-3.15
Zr: 0.4300 0.7500 0.5943  5 Bi 2.99-3.26, 1 Cu 2.99, 2 Zr 3.24
Zr: 0.5700 0.2500 0.4057  5 Bi 2.99-3.26, 1 Cu 2.99, 2 Zr 3.24
Zr: 0.6211 0.7500 0.9615  3 Cu 2.82-2.90, 4 Bi 3.09-3.15
Zr: 0.7342 0.7500 0.2651  2 Cu 2.95, 5 Bi 2.99-3.25, 2 Zr 3.24
Zr: 0.7658 0.2500 0.7651  2 Cu 2.95, 5 Bi 2.99-3.25, 2 Zr 3.24
Zr: 0.8789 0.2500 0.4615  3 Cu 2.82-2.90, 4 Bi 3.09-3.15
Zr: 0.9300 0.7500 0.9057  5 Bi 2.99-3.26, 1 Cu 2.99, 2 Zr 3.24
Cu: 0.1003 0.2500 0.3624  3 Bi 2.64-2.66, 5 Zr 2.82-2.95
Cu: 0.3997 0.7500 0.8624  3 Bi 2.64-2.66, 5 Zr 2.82-2.95
Cu: 0.6003 0.2500 0.1376  3 Bi 2.64-2.66, 5 Zr 2.82-2.95
Cu: 0.8997 0.7500 0.6376  3 Bi 2.64-2.66, 5 Zr 2.82-2.95
Bi: 0.0192 0.2500 0.7173  2 Cu 2.64
Bi: 0.1959 0.7500 0.9510  1 Cu 2.66
Bi: 0.3041 0.2500 0.4510  1 Cu 2.66
Bi: 0.4808 0.7500 0.2173  2 Cu 2.64
Bi: 0.5192 0.2500 0.7827  2 Cu 2.64
Bi: 0.6959 0.7500 0.5490  1 Cu 2.66
Bi: 0.8041 0.2500 0.0490  1 Cu 2.66
Bi: 0.9808 0.7500 0.2827  2 Cu 2.64

Calculated density (g cm⁻³): 9.24
Raw total energy (eV per atom): -6.462
SG: No. 62
Fermi-level density of states (states/eV per atom): 0.630
Magnetization (μB per formula unit): 0.00
Energy relative to the elements (eV/f.u.): -1.268

7.
## Zr2CuBi (PBE-GGA)

Data for a geometry-optimized Zr2CuBi structure.

Cell lengths 6.2118, 6.2118, 6.2118 Å; angles 103.73, 103.73, 121.69 degrees
With the nearest neighbours (Å) after each atom.
Element x y z (fractional)
Zr: 0.0955 0.6250 0.9705  2 Cu 2.67, 2 Bi 2.97
Zr: 0.3750 0.3455 0.4705  2 Cu 2.67, 2 Bi 2.97
Zr: 0.6545 0.1250 0.0295  2 Cu 2.67, 2 Bi 2.97
Zr: 0.8750 0.9045 0.5295  2 Cu 2.67, 2 Bi 2.97
Cu: 0.0000 0.0000 0.0000  4 Zr 2.67
Cu: 0.7500 0.2500 0.5000  4 Zr 2.67
Bi: 0.2500 0.7500 0.5000  4 Zr 2.97, 2 Cu 3.03
Bi: 0.5000 0.5000 0.0000  4 Zr 2.97, 2 Cu 3.03

Calculated density (g cm⁻³): 8.48
Raw total energy (eV per atom): -6.222
SG: No. 122
Fermi-level density of states (states/eV per atom): 0.943
Magnetization (μB per formula unit): 0.00
Energy relative to the elements (eV/f.u.): 0.184

8.
## ZrCu2Bi2 (PBE-GGA)

Data for a geometry-optimized ZrCu2Bi2 structure.

Cell lengths 8.2217, 8.2217, 8.2217 Å; angles 153.92, 153.92, 37.22 degrees
With the nearest neighbours (Å) after each atom.
Element x y z (fractional)
Zr: 0.0000 0.0000 0.0000  8 Bi 3.15
Cu: 0.2500 0.7500 0.5000  4 Cu 2.62, 4 Bi 2.84
Cu: 0.7500 0.2500 0.5000  4 Cu 2.62, 4 Bi 2.84
Bi: 0.3884 0.3884 0.0000  4 Cu 2.84, 4 Zr 3.15
Bi: 0.6116 0.6116 0.0000  4 Cu 2.84, 4 Zr 3.15

Calculated density (g cm⁻³): 9.85
Raw total energy (eV per atom): -4.791
SG: No. 139
Fermi-level density of states (states/eV per atom): 0.355
Relative energy among the computed polymorphs (eV/atom): 0.077
Magnetization (μB per formula unit): 0.00
Energy relative to the elements (eV/f.u.): 0.549

9.
## Zr6CuBi2 (PBE-GGA)

Data for a geometry-optimized Zr6CuBi2 structure.

Cell lengths 7.8726, 7.8726, 3.8127 Å; angles 90.00, 90.00, 120.00 degrees
With the nearest neighbours (Å) after each atom.
Element x y z (fractional)
Zr: 0.0000 0.2381 0.0000  2 Cu 2.67
Zr: 0.0000 0.6065 0.5000  4 Bi 3.08, 1 Cu 3.10, 4 Zr 3.31
Zr: 0.2381 0.0000 0.0000  2 Cu 2.67
Zr: 0.3935 0.3935 0.5000  4 Bi 3.08, 1 Cu 3.10, 4 Zr 3.31
Zr: 0.6065 0.0000 0.5000  4 Bi 3.08, 1 Cu 3.10, 4 Zr 3.31
Zr: 0.7619 0.7619 0.0000  2 Cu 2.67
Cu: 0.0000 0.0000 0.5000  6 Zr 2.67
Bi: 0.3333 0.6667 0.0000  9 Zr 3.07-3.08
Bi: 0.6667 0.3333 0.0000  9 Zr 3.07-3.08

Calculated density (g cm⁻³): 8.35
Raw total energy (eV per atom): -7.310
SG: No. 189
Fermi-level density of states (states/eV per atom): 0.989
Magnetization (μB per formula unit): 0.00
Energy relative to the elements (eV/f.u.): -2.642

10.
## Zr2Cu2Bi (PBE-GGA)

Data for a geometry-optimized Zr2Cu2Bi structure.

Cell lengths 8.2753, 8.2753, 8.2753 Å; angles 154.98, 154.98, 35.68 degrees
With the nearest neighbours (Å) after each atom.
Element x y z (fractional)
Zr: 0.1150 0.1150 0.0000  4 Cu 2.78
Zr: 0.8850 0.8850 0.0000  4 Cu 2.78
Cu: 0.2500 0.7500 0.5000  4 Cu 2.54, 4 Zr 2.78
Cu: 0.7500 0.2500 0.5000  4 Cu 2.54, 4 Zr 2.78
Bi: 0.5000 0.5000 0.0000  8 Zr 3.12

Calculated density (g cm⁻³): 8.50
Raw total energy (eV per atom): -5.791
SG: No. 139
Fermi-level density of states (states/eV per atom): 0.964
Relative energy among the computed polymorphs (eV/atom): 0.207
Magnetization (μB per formula unit): 0.00
Energy relative to the elements (eV/f.u.): 0.213

11.
## ZrCu2Bi2 (PBE-GGA)

Data for a geometry-optimized ZrCu2Bi2 structure.

Cell lengths 7.3452, 7.3452, 3.8441 Å; angles 90.00, 90.00, 90.00 degrees
With the nearest neighbours (Å) after each atom.
Element x y z (fractional)
Zr: 0.0000 0.0000 0.0000  4 Cu 2.94
Zr: 0.5000 0.5000 0.0000  4 Cu 2.94
Cu: 0.1174 0.3826 0.0000  1 Cu 2.44
Cu: 0.3826 0.8826 0.0000  1 Cu 2.44
Cu: 0.6174 0.1174 0.0000  1 Cu 2.44
Cu: 0.8826 0.6174 0.0000  1 Cu 2.44
Bi: 0.1812 0.6812 0.5000  6 Cu 2.84-2.95
Bi: 0.3188 0.1812 0.5000  6 Cu 2.84-2.95
Bi: 0.6812 0.8188 0.5000  6 Cu 2.84-2.95
Bi: 0.8188 0.3188 0.5000  6 Cu 2.84-2.95

Calculated density (g cm⁻³): 10.19
Raw total energy (eV per atom): -4.867
SG: No. 127
Fermi-level density of states (states/eV per atom): 0.363
Relative energy among the computed polymorphs (eV/atom): 0.000
Magnetization (μB per formula unit): 0.00
Energy relative to the elements (eV/f.u.): 0.165

12.
## Zr2CuBi (PBE-GGA)

Data for a geometry-optimized Zr2CuBi structure.

Cell lengths 4.3985, 4.3985, 4.3109 Å; angles 90.00, 90.00, 90.00 degrees
With the nearest neighbours (Å) after each atom.
Element x y z (fractional)
Zr: 0.0000 0.5000 0.0000  4 Bi 3.08, 4 Cu 3.08, 4 Zr 3.11
Zr: 0.5000 0.0000 0.0000  4 Bi 3.08, 4 Cu 3.08, 4 Zr 3.11
Cu: 0.0000 0.0000 0.5000  8 Zr 3.08, 4 Bi 3.11
Bi: 0.5000 0.5000 0.5000  8 Zr 3.08, 4 Cu 3.11

Calculated density (g cm⁻³): 9.06
Raw total energy (eV per atom): -6.406
SG: No. 123
Fermi-level density of states (states/eV per atom): 0.669
Magnetization (μB per formula unit): 0.00
Energy relative to the elements (eV/f.u.): -0.551